No. 1
The following is a PBE calculation of a relaxed Ba2SrIn2 crystal, from Alexandria.

Output
total moment: 0.0 μB per cell
Fermi-level density of states: 12.58 states/eV per cell
energy above the lowest structure with this stoichiometry: 0.1070 eV/atom
crystal system: tetragonal
uncorrected energy: -2.4413 eV per atom

Unit cell a=10.2163 b=10.2163 c=3.9216 alpha=90.00 beta=90.00 gamma=90.00
Closest atoms and distances in Å follow each position.
Element x y z (fractional)
Ba  0.1282  0.3718  0.0000  6 In 3.51-3.65, 3 Ba 3.70-3.92
Ba  0.3718  0.8718  0.0000  6 In 3.51-3.65, 3 Ba 3.70-3.92
Ba  0.6282  0.1282  0.0000  6 In 3.51-3.65, 3 Ba 3.70-3.92
Ba  0.8718  0.6282  0.0000  6 In 3.51-3.65, 3 Ba 3.70-3.92
Sr  0.0000  0.0000  0.0000  2 Sr 3.92, 4 Ba 4.02, 8 In 4.27
Sr  0.5000  0.5000  0.0000  2 Sr 3.92, 4 Ba 4.02, 8 In 4.27
In  0.1700  0.6700  0.5000  6 Ba 3.51-3.65, 2 In 3.92
In  0.3300  0.1700  0.5000  6 Ba 3.51-3.65, 2 In 3.92
In  0.6700  0.8300  0.5000  6 Ba 3.51-3.65, 2 In 3.92
In  0.8300  0.3300  0.5000  6 Ba 3.51-3.65, 2 In 3.92

---

No. 2
The following is a PBE calculation of a relaxed Ba2SrIn2 crystal, from Alexandria.

Output
total moment: 0.0 μB per cell
Fermi-level density of states: 1.95 states/eV per cell
energy above the lowest structure with this stoichiometry: 0.1490 eV/atom
crystal system: tetragonal
uncorrected energy: -2.3992 eV per atom

Unit cell a=8.5280 b=8.5280 c=8.5280 alpha=143.51 beta=143.51 gamma=52.56
Closest atoms and distances in Å follow each position.
Element x y z (fractional)
Ba  0.2500  0.7500  0.5000  4 In 3.61, 4 Ba 3.78
Ba  0.7500  0.2500  0.5000  4 In 3.61, 4 Ba 3.78
Sr  0.0000  0.0000  0.0000  8 In 4.03
In  0.4084  0.4084  0.0000  1 In 2.80
In  0.5916  0.5916  0.0000  1 In 2.80

---

No. 3
The following is a PBE calculation of a relaxed Ba5Sr5In2 crystal, from Alexandria.

Output
total moment: 0.0 μB per cell
Fermi-level density of states: 15.24 states/eV per cell
crystal system: monoclinic
uncorrected energy: -2.0709 eV per atom

Unit cell a=9.9551 b=9.9551 c=12.2857 alpha=119.50 beta=119.50 gamma=35.21
Closest atoms and distances in Å follow each position.
Element x y z (fractional)
Ba  0.0000  0.0000  0.0000  6 Sr 3.78-3.93, 2 Ba 3.95, 4 In 4.06
Ba  0.1168  0.1168  0.8114  3 In 3.71-3.85, 1 Ba 3.95, 3 Sr 3.97-4.04
Ba  0.1677  0.1677  0.5039  8 Sr 4.26-4.75, 4 Ba 4.36-4.75
Ba  0.8323  0.8323  0.4961  8 Sr 4.26-4.75, 4 Ba 4.36-4.75
Ba  0.8832  0.8832  0.1886  3 In 3.71-3.85, 1 Ba 3.95, 3 Sr 3.97-4.04
Sr  0.2418  0.2418  0.1891  3 In 3.63-3.95, 4 Ba 3.93-4.04
Sr  0.4278  0.4278  0.7821  2 In 3.53-3.60, 2 Ba 3.78
Sr  0.5000  0.5000  0.5000  4 Sr 4.33-4.39, 8 Ba 4.36-4.46
Sr  0.5722  0.5722  0.2179  2 In 3.53-3.60, 2 Ba 3.78
Sr  0.7582  0.7582  0.8109  3 In 3.63-3.95, 4 Ba 3.93-4.04
In  0.3539  0.3539  0.9930  4 Sr 3.53-3.63, 3 Ba 3.71-3.85
In  0.6461  0.6461  0.0070  4 Sr 3.53-3.63, 3 Ba 3.71-3.85

---

Which value of uncorrected energy does entry 2 give?
-2.3992 eV per atom